# 1
The following is a PBE-GGA calculation of an optimized crystal structure of La5Te2Pd, from Alexandria via LeMat-Bulk.

Unit cell a=4.6678 b=8.3860 c=12.8589 alpha=90.00 beta=90.00 gamma=90.00
Sites, in units of the cell vectors:
1 La 0.0000 0.0000 0.5000
2 La 0.0000 0.5000 0.0000
3 La 0.0000 0.8604 0.2075
4 La 0.0000 0.1396 0.7925
5 La 0.0000 0.6396 0.7075
6 La 0.0000 0.3604 0.2925
7 La 0.5000 0.7006 0.4359
8 La 0.5000 0.2994 0.5641
9 La 0.5000 0.7994 0.9359
10 La 0.5000 0.2006 0.0641
11 Te 0.5000 0.5808 0.1747
12 Te 0.5000 0.4192 0.8253
13 Te 0.5000 0.9192 0.6747
14 Te 0.5000 0.0808 0.3253
15 Pd 0.0000 0.5000 0.5000
16 Pd 0.0000 0.0000 0.0000

ΔE_f (raw) ... -92 kJ/mol of atoms
VASP energy ... -87.48 eV per cell
N(E_F) ... 21.601 states/eV/cell


# 2
The following is a PBE-GGA calculation of an optimized crystal structure of La2TePd2, from Alexandria via LeMat-Bulk.

Unit cell a=8.4383 b=8.4383 c=3.8971 alpha=90.00 beta=90.00 gamma=90.00
Sites, in units of the cell vectors:
1 Te 0.0000 0.0000 0.0000
2 Te 0.5000 0.5000 0.0000
3 Pd 0.1188 0.6188 0.5000
4 Pd 0.6188 0.8812 0.5000
5 Pd 0.8812 0.3812 0.5000
6 Pd 0.3812 0.1188 0.5000
7 La 0.3303 0.8303 0.0000
8 La 0.8303 0.6697 0.0000
9 La 0.6697 0.1697 0.0000
10 La 0.1697 0.3303 0.0000

Relative energy among the computed polymorphs ... 0.200 eV/atom
ΔE_f (raw) ... -84 kJ/mol of atoms
VASP energy ... -55.44 eV per cell
N(E_F) ... 1.448 states/eV/cell


# 3
The following is a PBE-GGA calculation of an optimized crystal structure of La2ThTe5Pd, from Alexandria via LeMat-Bulk.

Unit cell a=4.3570 b=9.7749 c=13.5162 alpha=90.00 beta=90.00 gamma=102.88
Sites, in units of the cell vectors:
1 La 0.8939 0.7877 0.8470
2 La 0.1210 0.2420 0.6964
3 La 0.1061 0.2123 0.3470
4 La 0.8790 0.7580 0.1964
5 Th 0.8279 0.6558 0.5171
6 Th 0.1721 0.3442 0.0171
7 Te 0.3412 0.6823 0.0174
8 Te 0.6994 0.3988 0.8482
9 Te 0.5014 0.0029 0.7531
10 Te 0.3089 0.6178 0.6882
11 Te 0.9875 0.9751 0.5266
12 Te 0.6588 0.3177 0.5174
13 Te 0.3006 0.6012 0.3482
14 Te 0.4986 0.9971 0.2531
15 Te 0.6911 0.3822 0.1882
16 Te 0.0125 0.0249 0.0266
17 Pd 0.5701 0.1401 0.9299
18 Pd 0.4299 0.8599 0.4299

ΔE_f (raw) ... -127 kJ/mol of atoms
VASP energy ... -100.06 eV per cell
N(E_F) ... 2.551 states/eV/cell


# 4
The following is a PBE-GGA calculation of an optimized crystal structure of La2TiTePd, from Alexandria via LeMat-Bulk.

Unit cell a=5.6807 b=4.5431 c=5.6807 alpha=90.00 beta=90.00 gamma=90.00
Sites, in units of the cell vectors:
1 Te 0.5000 0.5000 0.5000
2 Ti 0.0000 0.0000 0.0000
3 Pd 0.0000 0.5000 0.0000
4 La 0.0000 0.0000 0.5000
5 La 0.5000 0.0000 0.0000

ΔE_f (raw) ... -19 kJ/mol of atoms
VASP energy ... -27.07 eV per cell
N(E_F) ... 5.906 states/eV/cell


# 5
The following is a PBE-GGA calculation of an optimized crystal structure of LaTlTe2Pd, from Alexandria via LeMat-Bulk.

Unit cell a=5.7351 b=5.0081 c=5.7351 alpha=90.00 beta=90.00 gamma=90.00
Sites, in units of the cell vectors:
1 Tl 0.0000 0.0000 0.0000
2 Te 0.0000 0.0000 0.5000
3 Te 0.5000 0.0000 0.0000
4 Pd 0.0000 0.5000 0.0000
5 La 0.5000 0.5000 0.5000

ΔE_f (raw) ... -12 kJ/mol of atoms
VASP energy ... -19.41 eV per cell
N(E_F) ... 2.203 states/eV/cell


# 6
The following is a PBE-GGA calculation of an optimized crystal structure of LaUTe3Pd, from Alexandria via LeMat-Bulk.

Unit cell a=4.3053 b=8.6288 c=9.8893 alpha=103.40 beta=90.00 gamma=90.00
Site moments in Bohr magnetons follow the coordinates.
Sites, in units of the cell vectors:
1 La 0.2500 0.1706 0.2749  0.04
2 La 0.7500 0.8294 0.7251  0.04
3 U 0.2500 0.6673 0.1645  2.62
4 U 0.7500 0.3327 0.8355  2.62
5 Te 0.7500 0.9082 0.1262  -0.04
6 Te 0.2500 0.0918 0.8738  -0.04
7 Te 0.2500 0.7448 0.4774  -0.03
8 Te 0.7500 0.2552 0.5226  -0.03
9 Te 0.7500 0.4077 0.1643  -0.05
10 Te 0.2500 0.5923 0.8357  -0.05
11 Pd 0.2500 0.0841 0.5964  -0.04
12 Pd 0.7500 0.9159 0.4036  -0.04

ΔE_f (raw) ... -94 kJ/mol of atoms
VASP energy ... -73.35 eV per cell
N(E_F) ... 11.062 states/eV/cell


ΔE_f (raw) of number 2 (La2TePd2)? -84 kJ/mol of atoms


ΔE_f (raw) of number 6 (LaUTe3Pd)? -94 kJ/mol of atoms


What is the ΔE_f (raw) in the sixth record? -94 kJ/mol of atoms